--- 1 ---
Computed, not measured: an optimized crystal structure of Ho3Cu2Ni at the PBE level of DFT.

The structure in POSCAR format:
```
Ho3Cu2Ni
1.0
11.2540 0.0000 0.0000
0.0000 4.2744 0.0000
0.0000 0.0000 10.5466
Ho Cu Ni
12 8 4
Direct
0.0518 0.2500 0.1247
0.1118 0.7500 0.5617
0.2259 0.2500 0.7982
0.2741 0.7500 0.2982
0.3882 0.2500 0.0617
0.4482 0.7500 0.6247
0.5518 0.2500 0.3753
0.6118 0.7500 0.9383
0.7259 0.2500 0.7018
0.7741 0.7500 0.2018
0.8882 0.2500 0.4383
0.9482 0.7500 0.8753
0.0166 0.7500 0.3065
0.1987 0.7500 0.0075
0.3013 0.2500 0.5075
0.4834 0.2500 0.8065
0.5166 0.7500 0.1935
0.6987 0.7500 0.4925
0.8013 0.2500 0.9925
0.9834 0.2500 0.6935
0.1254 0.2500 0.3728
0.3746 0.7500 0.8728
0.6254 0.2500 0.1272
0.8746 0.7500 0.6272
```

--- 2 ---
Computed, not measured: an optimized crystal structure of Ho3Cu2Ni at the PBE level of DFT.

The structure in POSCAR format:
```
Ho3Cu2Ni
1.0
3.4105 0.0000 0.0000
0.0000 3.4105 0.0000
0.0000 0.0000 10.3377
Ho Cu Ni
3 2 1
Direct
0.0000 0.0000 0.0000
0.0000 0.0000 0.3402
0.0000 0.0000 0.6598
0.5000 0.5000 0.1687
0.5000 0.5000 0.8313
0.5000 0.5000 0.5000
```

On energetic grounds, 2 is preferred over the next structure by 0.024 eV/atom.

--- 1 ---
Computed, not measured: an optimized crystal structure of Ho6CuNi2 at the PBE level of DFT.

The structure in POSCAR format:
```
Ho6CuNi2
1.0
6.4650 0.0000 0.0000
0.0000 6.9316 0.0000
-6.2707 0.0000 9.9640
Ho Cu Ni
12 2 4
Direct
0.0743 0.1805 0.4240
0.0743 0.3195 0.9240
0.2353 0.6655 0.4231
0.2353 0.8345 0.9231
0.4083 0.0477 0.2421
0.4083 0.4523 0.7421
0.5917 0.5477 0.2579
0.5917 0.9523 0.7579
0.7647 0.1655 0.0769
0.7647 0.3345 0.5769
0.9257 0.6805 0.0760
0.9257 0.8195 0.5760
0.5000 0.0000 0.5000
0.5000 0.5000 0.0000
0.1835 0.1189 0.7442
0.1835 0.3811 0.2442
0.8165 0.6189 0.7558
0.8165 0.8811 0.2558
```

--- 2 ---
Computed, not measured: an optimized crystal structure of Ho6CuNi2 at the PBE level of DFT.

The structure in POSCAR format:
```
Ho6CuNi2
1.0
-4.6457 4.6983 4.8626
4.6457 -4.6983 4.8626
4.6457 4.6983 -4.8626
Ho Cu Ni
12 2 4
Direct
0.0567 0.2441 0.8126
0.1774 0.2740 0.4514
0.1774 0.7260 0.9034
0.3264 0.0176 0.6912
0.3264 0.6352 0.3088
0.4315 0.2441 0.1874
0.5685 0.7559 0.8126
0.6736 0.3648 0.6912
0.6736 0.9824 0.3088
0.8226 0.2740 0.0966
0.8226 0.7260 0.5486
0.9433 0.7559 0.1874
0.0000 0.0000 0.0000
0.5000 0.5000 0.0000
0.1194 0.6194 0.5000
0.3415 0.0000 0.3415
0.6585 0.0000 0.6585
0.8806 0.3806 0.5000
```

On energetic grounds, 2 is preferred over the next structure by 0.090 eV/atom.

--- 1 ---
Computed, not measured: an optimized crystal structure of PmHoCuNi at the PBE level of DFT.

The structure in POSCAR format:
```
PmHoCuNi
1.0
4.4275 0.0000 0.0000
0.0000 1.8788 5.1619
0.0000 -1.8788 5.1619
Pm Ho Cu Ni
1 1 1 1
Direct
0.0000 0.0000 0.0000
0.5000 0.7215 0.7215
0.5000 0.4281 0.4281
0.0000 0.2865 0.2865
```

--- 2 ---
Computed, not measured: an optimized crystal structure of PmHoCuNi at the PBE level of DFT.

The structure in POSCAR format:
```
PmHoCuNi
1.0
0.0000 3.4626 3.4626
3.4626 0.0000 3.4626
3.4626 3.4626 0.0000
Pm Ho Cu Ni
1 1 1 1
Direct
0.0000 0.0000 0.0000
0.5000 0.5000 0.5000
0.2500 0.2500 0.2500
0.7500 0.7500 0.7500
```

On energetic grounds, 1 is preferred over the next structure by 0.040 eV/atom.

--- 1 ---
Computed, not measured: an optimized crystal structure of TbHoCuNi at the PBE level of DFT.

The structure in POSCAR format:
```
TbHoCuNi
1.0
0.0000 3.4200 3.4200
3.4200 0.0000 3.4200
3.4200 3.4200 0.0000
Tb Ho Cu Ni
1 1 1 1
Direct
0.0000 0.0000 0.0000
0.5000 0.5000 0.5000
0.7500 0.7500 0.7500
0.2500 0.2500 0.2500
```

--- 2 ---
Computed, not measured: an optimized crystal structure of TbHoCuNi at the PBE level of DFT.

The structure in POSCAR format:
```
TbHoCuNi
1.0
4.3992 0.0000 0.0000
0.0000 1.8474 5.1018
0.0000 -1.8474 5.1018
Tb Ho Cu Ni
1 1 1 1
Direct
0.0000 0.0000 0.0000
0.5000 0.7217 0.7217
0.5000 0.4320 0.4320
0.0000 0.2876 0.2876
```

On energetic grounds, 2 is preferred over the next structure by 0.038 eV/atom.